This record from Alexandria via LeMat-Bulk describes PmBiRh4 after structural relaxation. The functional is PBE.

Unit cell a=5.3854 b=5.3854 c=5.3854 alpha=60.00 beta=60.00 gamma=60.00
Fractional positions:
1 Pm 0.0000 0.0000 0.0000
2 Bi 0.7500 0.7500 0.7500
3 Rh 0.3757 0.3757 0.3757
4 Rh 0.3757 0.3757 0.8729
5 Rh 0.3757 0.8729 0.3757
6 Rh 0.8729 0.3757 0.3757

Results
Magnetization: 0.00 μB per cell
Crystal system: cubic
VASP energy: -6.703 eV/atom

=====

This record from Alexandria via LeMat-Bulk describes LiYPb after structural relaxation. The functional is PBE.

Unit cell a=4.8492 b=4.8492 c=7.7167 alpha=90.00 beta=90.00 gamma=90.00
Fractional positions:
1 Li 0.2500 0.2500 0.1468
2 Li 0.7500 0.7500 0.8532
3 Y 0.2500 0.7500 0.5000
4 Y 0.7500 0.2500 0.5000
5 Pb 0.2500 0.2500 0.7740
6 Pb 0.7500 0.7500 0.2260

Results
Magnetization: 0.00 μB per cell
Crystal system: tetragonal
VASP energy: -4.152 eV/atom

=====

This record from Alexandria via LeMat-Bulk describes Ba2CdSiPd6 after structural relaxation. The functional is PBE.

Unit cell a=5.8097 b=6.6351 c=7.2830 alpha=73.96 beta=66.58 gamma=64.24
Fractional positions:
1 Ba 0.2374 0.2191 0.3047
2 Ba 0.7626 0.7809 0.6953
3 Cd 0.5000 0.5000 0.5000
4 Si 0.0000 0.0000 0.0000
5 Pd 0.2341 0.2442 0.8023
6 Pd 0.2457 0.6193 0.8896
7 Pd 0.2817 0.7557 0.1972
8 Pd 0.7183 0.2443 0.8028
9 Pd 0.7543 0.3807 0.1104
10 Pd 0.7659 0.7558 0.1977

Results
Magnetization: 0.00 μB per cell
Crystal system: triclinic
VASP energy: -4.693 eV/atom
Uncorrected formation energy: -559 meV per atom